Computed, not measured: DySeO4F after structural relaxation at the PBE level of DFT.

Values from the calculation:
The value obtained for the density of states at the Fermi level is 0.000 states/eV/f.u. The uncorrected formation energy is -14.5 eV per formula unit. The density comes out at 5.05 g cm⁻³. Its space group is No. 12. The calculation puts the uncorrected energy at -88.5 eV per cell.

a = 5.8304 Å, b = 5.8304 Å, c = 6.7402 Å
α = 77.30°, β = 77.30°, γ = 76.04°
Closest atoms and distances in Å follow each position.
Positions (direct):
O (0.5316, 0.5316, 0.2653)  1 Se 1.65
O (0.4825, 0.1271, 0.1438)  1 Se 1.69
F (0.9797, 0.9797, 0.8264)  2 Dy 2.21, 1 F 2.47
O (0.1271, 0.4825, 0.1438)  1 Se 1.69
Se (0.6504, 0.6504, 0.7188)  4 O 1.64-1.69
F (0.0203, 0.0203, 0.1736)  2 Dy 2.21, 1 F 2.47
Se (0.3496, 0.3496, 0.2812)  4 O 1.64-1.69
O (0.7595, 0.7595, 0.4799)  1 Se 1.64
O (0.2405, 0.2405, 0.5201)  1 Se 1.64
O (0.5175, 0.8729, 0.8562)  1 Se 1.69
O (0.4684, 0.4684, 0.7347)  1 Se 1.65
Dy (0.2050, 0.2050, 0.8826)  2 F 2.21, 4 O 2.33-2.37
O (0.8729, 0.5175, 0.8562)  1 Se 1.69
Dy (0.7950, 0.7950, 0.1174)  2 F 2.21, 4 O 2.33-2.37